1.
VASP calculation (PBE) on crystalline MgBe2Pt3 at its relaxed geometry.

Cell and atoms, written as CIF:
```
data_MgBe2Pt3
_chemical_formula_sum 'Mg1 Be2 Pt3'
_symmetry_space_group_name_H-M 'P 4/m m m'
_symmetry_Int_Tables_number 123
_symmetry_space_group_name_Hall '-P 4 2'
_cell_length_a 2.827
_cell_length_b 2.827
_cell_length_c 9.742
_cell_angle_alpha 90.00
_cell_angle_beta 90.00
_cell_angle_gamma 90.00
loop_
_atom_site_label
_atom_site_type_symbol
_atom_site_fract_x
_atom_site_fract_y
_atom_site_fract_z
_atom_site_occupancy
Mg1 Mg 0.000 0.000 0.000 1
Be1 Be 0.000 0.000 0.346 1
Pt1 Pt 0.500 0.500 0.203 1
Pt2 Pt 0.500 0.500 0.500 1
```

Formation enthalpy at 0 K, kJ/mol of formula units: -472
Calculated volume, Å³/cell: 78
Relative energy among the computed polymorphs, meV/atom: 0.0

=====

2.
VASP calculation (PBE) on crystalline Mg2BePt at its relaxed geometry.

Cell and atoms, written as CIF:
```
data_Mg2BePt
_chemical_formula_sum 'Mg2 Be1 Pt1'
_symmetry_space_group_name_H-M 'P 4 m m'
_symmetry_Int_Tables_number 99
_symmetry_space_group_name_Hall 'P 4 -2'
_cell_length_a 3.070
_cell_length_b 3.070
_cell_length_c 6.920
_cell_angle_alpha 90.00
_cell_angle_beta 90.00
_cell_angle_gamma 90.00
loop_
_atom_site_label
_atom_site_type_symbol
_atom_site_fract_x
_atom_site_fract_y
_atom_site_fract_z
_atom_site_occupancy
Mg1 Mg 0.000 0.000 0.000 1
Mg2 Mg 0.500 0.500 0.338 1
Be1 Be 0.500 0.500 0.733 1
Pt1 Pt 0.000 0.000 0.602 1
```

Formation enthalpy at 0 K, kJ/mol of formula units: -158
Calculated volume, Å³/cell: 65